(1)
Compound: Na2GaSn2
Source: the Alexandria database
Functional: PBE
Structure: optimized geometry

a = 4.663 Å, b = 6.168 Å, c = 10.492 Å
α = 87.46°, β = 77.16°, γ = 67.79°
Positions (direct):
Na 0.669 0.347 0.315
Na 0.923 0.264 0.889
Na 0.331 0.653 0.685
Na 0.077 0.736 0.111
Ga 0.629 0.077 0.665
Ga 0.371 0.923 0.335
Sn 0.097 0.254 0.552
Sn 0.639 0.833 0.889
Sn 0.903 0.746 0.448
Sn 0.361 0.167 0.111

## Properties
excess energy over the best structure of this formula in the dataset = 0.0 meV/atom
mass density = 4.3 Mg/m³
E_tot = -29.0 eV per cell
space-group type = C2/m
energy of formation from the pure elements = -0.170 eV/atom



(2)
Compound: Zn2CoB2Rh5
Source: the Alexandria database
Functional: PBE
Structure: optimized geometry

a = 2.848 Å, b = 9.377 Å, c = 9.377 Å
α = 90.00°, β = 90.00°, γ = 90.00°
Positions (direct):
Zn 0.000 0.677 0.177
Zn 0.000 0.323 0.823
Zn 0.000 0.177 0.323
Zn 0.000 0.823 0.677
Co 0.000 0.000 0.000
Co 0.000 0.500 0.500
B 0.000 0.127 0.627
B 0.000 0.873 0.373
B 0.000 0.627 0.873
B 0.000 0.373 0.127
Rh 0.500 0.214 0.073
Rh 0.500 0.786 0.927
Rh 0.500 0.073 0.786
Rh 0.500 0.714 0.427
Rh 0.500 0.927 0.214
Rh 0.500 0.286 0.573
Rh 0.500 0.573 0.714
Rh 0.500 0.427 0.286
Rh 0.500 0.500 0.000
Rh 0.500 0.000 0.500

## Properties
mass density = 9.6 Mg/m³
E_tot = -125.0 eV per cell
space-group type = P4/mbm
energy of formation from the pure elements = -0.274 eV/atom



(3)
Compound: Sr2Zn7
Source: the Alexandria database
Functional: PBE
Structure: optimized geometry

a = 5.717 Å, b = 5.717 Å, c = 13.421 Å
α = 77.70°, β = 77.70°, γ = 60.00°
Positions (direct):
Sr 0.052 0.052 0.844
Sr 0.948 0.948 0.156
Sr 0.150 0.150 0.549
Sr 0.850 0.850 0.451
Zn 0.500 0.500 0.500
Zn 0.280 0.280 0.160
Zn 0.720 0.720 0.840
Zn 0.387 0.387 0.839
Zn 0.613 0.613 0.161
Zn 0.500 0.000 0.000
Zn 0.000 0.500 0.000
Zn 0.500 0.500 0.000
Zn 0.608 0.608 0.677
Zn 0.608 0.107 0.677
Zn 0.107 0.608 0.677
Zn 0.392 0.392 0.323
Zn 0.392 0.893 0.323
Zn 0.893 0.392 0.323

## Properties
mass density = 5.7 Mg/m³
E_tot = -28.0 eV per cell
space-group type = R-3m
energy of formation from the pure elements = -0.190 eV/atom



(4)
Compound: PmDyEr2
Source: the Alexandria database
Functional: PBE
Structure: optimized geometry

a = 3.630 Å, b = 6.715 Å, c = 6.715 Å
α = 55.57°, β = 74.34°, γ = 74.34°
Positions (direct):
Pm 0.250 0.168 0.332
Dy 0.750 0.666 0.834
Er 0.001 0.082 0.915
Er 0.499 0.585 0.418

## Properties
excess energy over the best structure of this formula in the dataset = 0.0 meV/atom
mass density = 8.3 Mg/m³
E_tot = -18.4 eV per cell
space-group type = Imm2
energy of formation from the pure elements = 0.016 eV/atom



(5)
Compound: NaAcRu
Source: the Alexandria database
Functional: PBE
Structure: optimized geometry

a = 3.745 Å, b = 3.745 Å, c = 13.529 Å
α = 90.00°, β = 90.00°, γ = 90.00°
Positions (direct):
Na 0.000 0.500 0.598
Na 0.500 0.000 0.402
Ac 0.000 0.500 0.166
Ac 0.500 0.000 0.834
Ru 0.500 0.000 0.032
Ru 0.000 0.500 0.968

## Properties
mass density = 6.1 Mg/m³
E_tot = -28.4 eV per cell
space-group type = P4/nmm
energy of formation from the pure elements = 0.176 eV/atom



(6)
Compound: BaZr2Cd
Source: the Alexandria database
Functional: PBE
Structure: optimized geometry

a = 6.873 Å, b = 6.873 Å, c = 5.598 Å
α = 64.32°, β = 64.32°, γ = 28.72°
Positions (direct):
Ba 0.750 0.750 0.750
Cd 0.250 0.250 0.250
Zr 0.971 0.971 0.015
Zr 0.529 0.529 0.485

## Properties
mass density = 6.3 Mg/m³
E_tot = -18.8 eV per cell
space-group type = C2/m
energy of formation from the pure elements = 0.294 eV/atom



(7)
Compound: Ce2Zn3SnPt4
Source: the Alexandria database
Functional: PBE
Structure: optimized geometry

a = 4.194 Å, b = 4.194 Å, c = 11.246 Å
α = 90.00°, β = 90.00°, γ = 90.00°
Positions (direct):
Ce 0.500 0.000 0.239
Ce 0.000 0.500 0.761
Zn 0.000 0.000 0.500
Zn 0.500 0.000 0.872
Zn 0.000 0.500 0.128
Sn 0.500 0.500 0.500
Pt 0.500 0.500 0.000
Pt 0.000 0.000 0.000
Pt 0.500 0.000 0.652
Pt 0.000 0.500 0.348

## Properties
mass density = 11.5 Mg/m³
E_tot = -51.2 eV per cell
space-group type = P-4m2
energy of formation from the pure elements = -0.732 eV/atom



(8)
Compound: LiVSi
Source: the Alexandria database
Functional: PBE
Structure: optimized geometry

a = 3.616 Å, b = 3.616 Å, c = 13.876 Å
α = 90.00°, β = 90.00°, γ = 90.00°
Positions (direct):
Li 0.000 0.000 0.822
Li 0.000 0.000 0.178
Li 0.500 0.500 0.322
Li 0.500 0.500 0.678
V 0.000 0.500 0.000
V 0.500 0.000 0.000
V 0.500 0.000 0.500
V 0.000 0.500 0.500
Si 0.000 0.000 0.371
Si 0.000 0.000 0.629
Si 0.500 0.500 0.871
Si 0.500 0.500 0.129

## Properties
mass density = 3.1 Mg/m³
E_tot = -67.1 eV per cell
uncorrected formation energy = -32 kJ/mol of formula units
space-group type = I4/mmm



(9)
Compound: ScCr3Ga
Source: the Alexandria database
Functional: PBE
Structure: optimized geometry

a = 4.430 Å, b = 4.430 Å, c = 4.430 Å
α = 90.00°, β = 90.00°, γ = 90.00°
Positions (direct):
Sc 0.500 0.500 0.500
Cr 0.000 0.500 0.000
Cr 0.000 0.000 0.500
Cr 0.500 0.000 0.000
Ga 0.000 0.000 0.000

## Properties
excess energy over the best structure of this formula in the dataset = 0.0 meV/atom
mass density = 5.2 Mg/m³
E_tot = -32.2 eV per cell
space-group type = Pm-3m
energy of formation from the pure elements = 1.209 eV/atom



(10)
Compound: BaYMnTl2
Source: the Alexandria database
Functional: PBE
Structure: optimized geometry

a = 5.380 Å, b = 4.959 Å, c = 5.380 Å
α = 90.00°, β = 90.00°, γ = 90.00°
Positions (direct):
Y 0.000 0.500 0.000
Tl 0.000 0.000 0.500
Tl 0.500 0.000 0.000
Mn 0.000 0.000 0.000
Ba 0.500 0.500 0.500

## Properties
mass density = 8.0 Mg/m³
E_tot = -21.9 eV per cell
space-group type = P4/mmm
energy of formation from the pure elements = 0.077 eV/atom



(11)
Compound: Be2InN2
Source: the Alexandria database
Functional: PBE
Structure: optimized geometry

a = 3.081 Å, b = 3.081 Å, c = 5.785 Å
α = 74.56°, β = 74.56°, γ = 90.00°
Positions (direct):
Be 0.750 0.250 0.500
Be 0.250 0.750 0.500
N 0.328 0.328 0.344
N 0.672 0.672 0.656
In 0.000 0.000 0.000

## Properties
excess energy over the best structure of this formula in the dataset = 0.0 meV/atom
mass density = 5.3 Mg/m³
E_tot = -28.1 eV per cell
uncorrected formation energy = -118 kJ/mol of formula units
space-group type = I4/mmm



(12)
Compound: Ac2ZnPd4
Source: the Alexandria database
Functional: PBE
Structure: optimized geometry

a = 4.733 Å, b = 4.733 Å, c = 8.444 Å
α = 106.28°, β = 106.28°, γ = 90.00°
Positions (direct):
Ac 0.645 0.645 0.291
Ac 0.355 0.355 0.709
Zn 0.000 0.000 0.000
Pd 0.841 0.841 0.681
Pd 0.159 0.159 0.319
Pd 0.000 0.500 0.000
Pd 0.500 0.000 0.000

## Properties
excess energy over the best structure of this formula in the dataset = 53.1 meV/atom
mass density = 9.0 Mg/m³
E_tot = -33.8 eV per cell
space-group type = I4/mmm
energy of formation from the pure elements = -0.503 eV/atom